#a
Pm2ErHg: relaxed, PBE.

Output
As for the calculated volume: 125.5 Å³ per cell. As for the space-group type: R3m, No. 160. The density of states at the Fermi level comes out at 1.341 states/eV/atom. Its magnetization is 0.0 μB/f.u.

```
Pm2ErHg
1.0
1.8417 1.0633 10.6773
-1.8417 1.0633 10.6773
0.0000 -2.1266 10.6773
Pm Er Hg
2 1 1
Cartesian
0.0000 0.0000 0.0000
0.0000 0.0000 5.6999
0.0000 0.0000 13.5209
0.0000 0.0000 18.8656
```

=====

#b
Pm2ErHg: relaxed, PBE.

Output
As for the calculated volume: 239.8 Å³ per cell. As for the space-group type: P4/nmm, No. 129. The density of states at the Fermi level comes out at 1.101 states/eV/atom. Its magnetization is 0.0 μB/f.u.

```
Pm2ErHg
1.0
5.1969 0.0000 0.0000
0.0000 5.1969 0.0000
0.0000 0.0000 8.8802
Pm Er Hg
4 2 2
Cartesian
1.2992 1.2992 1.9606
1.2992 3.8977 4.4401
3.8977 1.2992 4.4401
3.8977 3.8977 6.9196
1.2992 1.2992 6.9490
3.8977 3.8977 1.9312
1.2992 3.8977 0.0000
3.8977 1.2992 0.0000
```

=====

Of them, the most stable is #b and the least stable is #a.

=====

#a
Pm2ErHg: relaxed, PBE.

Output
As for the calculated volume: 116.9 Å³ per cell. As for the space-group type: Fm-3m, No. 225. The density of states at the Fermi level comes out at 1.407 states/eV/atom. Its magnetization is 0.0 μB/f.u.

```
Pm2ErHg
1.0
0.0000 3.8804 3.8804
3.8804 0.0000 3.8804
3.8804 3.8804 0.0000
Pm Er Hg
2 1 1
Cartesian
1.9402 1.9402 1.9402
5.8206 5.8206 5.8206
0.0000 0.0000 0.0000
3.8804 3.8804 3.8804
```

=====

#b
Pm2ErHg: relaxed, PBE.

Output
As for the calculated volume: 121.2 Å³ per cell. As for the space-group type: P4/mmm, No. 123. The density of states at the Fermi level comes out at 1.197 states/eV/atom. Its magnetization is 0.0 μB/f.u.

```
Pm2ErHg
1.0
3.6876 0.0000 0.0000
0.0000 3.6876 0.0000
0.0000 0.0000 8.9090
Pm Er Hg
2 1 1
Cartesian
0.0000 0.0000 2.0091
0.0000 0.0000 6.8999
1.8438 1.8438 4.4545
1.8438 1.8438 0.0000
```

=====

Of them, the most stable is #b and the least stable is #a.

=====

#a
Pm2ErHg: relaxed, PBE.

Output
As for the calculated volume: 240.7 Å³ per cell. As for the space-group type: Cmcm, No. 63. The density of states at the Fermi level comes out at 0.941 states/eV/atom. Its magnetization is 0.0 μB/f.u.

```
Pm2ErHg
1.0
1.8478 -6.2675 0.0000
1.8478 6.2675 0.0000
0.0000 0.0000 10.3933
Pm Er Hg
4 2 2
Cartesian
1.8478 4.6421 5.6273
1.8478 4.6421 9.9626
1.8478 -4.6421 0.4307
1.8478 -4.6421 4.7660
1.8478 0.6035 7.7950
1.8478 -0.6035 2.5983
1.8478 3.0899 2.5983
1.8478 -3.0899 7.7950
```

=====

#b
Pm2ErHg: relaxed, PBE.

Output
As for the calculated volume: 132.0 Å³ per cell. As for the space-group type: R-3m, No. 166. The density of states at the Fermi level comes out at 1.071 states/eV/atom. Its magnetization is 0.0 μB/f.u.

```
Pm2ErHg
1.0
1.7664 1.0198 12.2078
-1.7664 1.0198 12.2078
0.0000 -2.0397 12.2078
Pm Er Hg
2 1 1
Cartesian
0.0000 0.0000 3.2572
0.0000 0.0000 33.3662
0.0000 0.0000 18.3117
0.0000 0.0000 0.0000
```

=====

Of them, the most stable is #a and the least stable is #b.

=====

#a
Pm2ErHg2: relaxed, PBE.

Output
As for the calculated volume: 143.7 Å³ per cell. As for the space-group type: Immm, No. 71. The density of states at the Fermi level comes out at 1.047 states/eV/atom. Its magnetization is 0.0 μB/f.u.

```
Pm2ErHg2
1.0
-2.4115 3.5056 4.2496
2.4115 -3.5056 4.2496
2.4115 3.5056 -4.2496
Pm Er Hg
2 1 2
Cartesian
0.0000 0.0000 1.6525
0.0000 0.0000 6.8468
0.0000 3.5056 0.0000
2.4115 1.5396 0.0000
0.0000 1.9660 4.2496
```

=====

#b
Pm2ErHg2: relaxed, PBE.

Output
As for the calculated volume: 280.6 Å³ per cell. As for the space-group type: P2_1/m, No. 11. The density of states at the Fermi level comes out at 1.070 states/eV/atom. Its magnetization is 0.3 μB/f.u.

```
Pm2ErHg2
1.0
3.7662 0.0000 0.0000
0.0000 5.3279 0.0000
-1.8794 0.0000 13.9815
Pm Er Hg
4 2 4
Cartesian
0.0029 1.3320 1.2582
-0.0013 1.3320 6.5505
1.8881 3.9959 7.4310
1.8838 3.9959 12.7233
0.0029 3.9959 4.1023
1.8838 1.3320 9.8792
0.0029 3.9959 10.0329
0.0024 1.3320 12.4380
1.8844 3.9959 1.5435
1.8839 1.3320 3.9486
```

=====

Of them, the most stable is #b and the least stable is #a.

=====

#a
PmErHg6: relaxed, PBE.

Output
As for the calculated volume: 195.4 Å³ per cell. As for the space-group type: Amm2, No. 38. The density of states at the Fermi level comes out at 0.768 states/eV/atom. Its magnetization is 0.0 μB/f.u.

```
PmErHg6
1.0
5.0408 0.0000 0.0000
0.0000 3.3382 5.8051
0.0000 -3.3382 5.8051
Pm Er Hg
1 1 6
Cartesian
0.0000 0.0000 0.0000
2.5204 0.0000 3.9756
0.0000 -1.6250 2.9521
0.0000 1.6250 2.9521
0.0000 0.0000 5.8863
2.5204 -1.6625 6.8451
2.5204 0.0000 9.6349
2.5204 1.6625 6.8451
```

=====

#b
PmErHg6: relaxed, PBE.

Output
As for the calculated volume: 199.3 Å³ per cell. As for the space-group type: P4/mmm, No. 123. The density of states at the Fermi level comes out at 0.787 states/eV/atom. Its magnetization is 0.0 μB/f.u.

```
PmErHg6
1.0
4.7166 0.0000 0.0000
0.0000 4.7166 0.0000
0.0000 0.0000 8.9584
Pm Er Hg
1 1 6
Cartesian
0.0000 0.0000 0.0000
0.0000 0.0000 4.4792
0.0000 2.3583 2.2925
0.0000 2.3583 6.6659
2.3583 0.0000 2.2925
2.3583 0.0000 6.6659
2.3583 2.3583 0.0000
2.3583 2.3583 4.4792
```

=====

Of them, the most stable is #a and the least stable is #b.

=====

#a
PmPrErHg: relaxed, PBE.

Output
As for the calculated volume: 121.7 Å³ per cell. As for the space-group type: P4mm, No. 99. The density of states at the Fermi level comes out at 1.177 states/eV/atom. Its magnetization is 0.0 μB/f.u.

```
PmPrErHg
1.0
3.6770 0.0000 0.0000
0.0000 3.6770 0.0000
0.0000 0.0000 8.9995
Pm Pr Er Hg
1 1 1 1
Cartesian
0.0000 0.0000 0.0000
1.8385 1.8385 2.5992
0.0000 0.0000 5.1106
1.8385 1.8385 6.9071
```

=====

#b
PmPrErHg: relaxed, PBE.

Output
As for the calculated volume: 119.0 Å³ per cell. As for the space-group type: F-43m, No. 216. The density of states at the Fermi level comes out at 1.452 states/eV/atom. Its magnetization is 0.0 μB/f.u.

```
PmPrErHg
1.0
0.0000 3.9038 3.9038
3.9038 0.0000 3.9038
3.9038 3.9038 0.0000
Pm Pr Er Hg
1 1 1 1
Cartesian
0.0000 0.0000 0.0000
3.9038 3.9038 3.9038
1.9519 1.9519 1.9519
5.8557 5.8557 5.8557
```

=====

Of them, the most stable is #a and the least stable is #b.

=====

#a
TbPmErHg: relaxed, PBE.

Output
As for the calculated volume: 117.1 Å³ per cell. As for the space-group type: P4mm, No. 99. The density of states at the Fermi level comes out at 0.968 states/eV/atom. Its magnetization is 0.0 μB/f.u.

```
TbPmErHg
1.0
3.6252 0.0000 0.0000
0.0000 3.6252 0.0000
0.0000 0.0000 8.9079
Tb Pm Er Hg
1 1 1 1
Cartesian
0.0000 0.0000 0.0000
1.8126 1.8126 2.5229
0.0000 0.0000 5.0190
1.8126 1.8126 6.9091
```

=====

#b
TbPmErHg: relaxed, PBE.

Output
As for the calculated volume: 113.0 Å³ per cell. As for the space-group type: F-43m, No. 216. The density of states at the Fermi level comes out at 1.610 states/eV/atom. Its magnetization is 0.7 μB/f.u.

```
TbPmErHg
1.0
0.0000 3.8370 3.8370
3.8370 0.0000 3.8370
3.8370 3.8370 0.0000
Tb Pm Er Hg
1 1 1 1
Cartesian
0.0000 0.0000 0.0000
5.7556 5.7556 5.7556
3.8370 3.8370 3.8370
1.9185 1.9185 1.9185
```

=====

Of them, the most stable is #a and the least stable is #b.

=====

#a
PmErZnHg: relaxed, PBE.

Output
As for the calculated volume: 100.4 Å³ per cell. As for the space-group type: F-43m, No. 216. The density of states at the Fermi level comes out at 1.052 states/eV/atom. Its magnetization is 0.5 μB/f.u.

```
PmErZnHg
1.0
0.0000 3.6888 3.6888
3.6888 0.0000 3.6888
3.6888 3.6888 0.0000
Pm Er Zn Hg
1 1 1 1
Cartesian
0.0000 0.0000 0.0000
3.6888 3.6888 3.6888
5.5332 5.5332 5.5332
1.8444 1.8444 1.8444
```

=====

#b
PmErZnHg: relaxed, PBE.

Output
As for the calculated volume: 99.1 Å³ per cell. As for the space-group type: P4mm, No. 99. The density of states at the Fermi level comes out at 0.959 states/eV/atom. Its magnetization is 0.0 μB/f.u.

```
PmErZnHg
1.0
3.6246 0.0000 0.0000
0.0000 3.6246 0.0000
0.0000 0.0000 7.5424
Pm Er Zn Hg
1 1 1 1
Cartesian
0.0000 0.0000 0.0000
0.0000 0.0000 3.5190
1.8123 1.8123 1.8799
1.8123 1.8123 5.3898
```

=====

Of them, the most stable is #b and the least stable is #a.

=====

#a
Pr4ErHg: relaxed, PBE.

Output
As for the calculated volume: 197.1 Å³ per cell. As for the space-group type: P4/mmm, No. 123. The density of states at the Fermi level comes out at 1.320 states/eV/atom. Its magnetization is 0.0 μB/f.u.

```
Pr4ErHg
1.0
3.7263 0.0000 0.0000
0.0000 3.7263 0.0000
0.0000 0.0000 14.1972
Pr Er Hg
4 1 1
Cartesian
0.0000 0.0000 2.0583
0.0000 0.0000 12.1388
1.8631 1.8631 4.6369
1.8631 1.8631 9.5603
0.0000 0.0000 7.0986
1.8631 1.8631 0.0000
```

=====

#b
Pr4ErHg: relaxed, PBE.

Output
As for the calculated volume: 400.0 Å³ per cell. As for the space-group type: C2/c, No. 15. The density of states at the Fermi level comes out at 1.396 states/eV/atom. Its magnetization is 0.0 μB/f.u.

```
Pr4ErHg
1.0
4.5383 -7.1551 0.0000
4.5383 7.1551 0.0000
-2.1628 0.0000 6.1584
Pr Er Hg
8 2 2
Cartesian
1.5754 4.4436 5.8540
1.2396 1.6124 3.8476
4.2571 4.4436 3.3835
2.3210 -1.6124 0.7684
4.5929 1.6124 5.3899
2.6568 -4.4436 2.7748
5.6743 -1.6124 2.3108
5.3385 -4.4436 0.3044
3.9976 1.3227 1.5396
2.9162 -1.3227 4.6188
3.9976 7.1283 1.5396
2.9162 -7.1283 4.6188
```

=====

Of them, the most stable is #a and the least stable is #b.

=====

#a
PrEr2Hg: relaxed, PBE.

Output
As for the calculated volume: 117.4 Å³ per cell. As for the space-group type: P4/mmm, No. 123. The density of states at the Fermi level comes out at 1.230 states/eV/atom. Its magnetization is 0.0 μB/f.u.

```
PrEr2Hg
1.0
3.6336 0.0000 0.0000
0.0000 3.6336 0.0000
0.0000 0.0000 8.8894
Pr Er Hg
1 2 1
Cartesian
0.0000 0.0000 0.0000
1.8168 1.8168 2.5426
1.8168 1.8168 6.3468
0.0000 0.0000 4.4447
```

=====

#b
PrEr2Hg: relaxed, PBE.

Output
As for the calculated volume: 113.7 Å³ per cell. As for the space-group type: P4/mmm, No. 123. The density of states at the Fermi level comes out at 1.343 states/eV/atom. Its magnetization is 0.5 μB/f.u.

```
PrEr2Hg
1.0
4.8572 0.0000 0.0000
0.0000 4.8572 0.0000
0.0000 0.0000 4.8193
Pr Er Hg
1 2 1
Cartesian
0.0000 0.0000 0.0000
0.0000 2.4286 2.4096
2.4286 0.0000 2.4096
2.4286 2.4286 0.0000
```

=====

Of them, the most stable is #a and the least stable is #b.

=====

#a
Pr2ErHg2: relaxed, PBE.

Output
As for the calculated volume: 288.6 Å³ per cell. As for the space-group type: P2_1/m, No. 11. The density of states at the Fermi level comes out at 1.036 states/eV/atom. Its magnetization is 0.3 μB/f.u.

```
Pr2ErHg2
1.0
3.7777 0.0000 0.0000
0.0000 5.3573 0.0000
-1.8799 0.0000 14.2583
Pr Er Hg
4 2 4
Cartesian
0.0060 1.3393 1.2589
-0.0001 1.3393 6.6583
1.8979 4.0180 7.6000
1.8918 4.0180 12.9994
0.0067 4.0180 4.1865
1.8911 1.3393 10.0718
0.0082 4.0180 10.2666
0.0022 1.3393 12.6048
1.8956 4.0180 1.6535
1.8896 1.3393 3.9917
```

=====

#b
Pr2ErHg2: relaxed, PBE.

Output
As for the calculated volume: 151.8 Å³ per cell. As for the space-group type: Immm, No. 71. The density of states at the Fermi level comes out at 1.114 states/eV/atom. Its magnetization is 0.0 μB/f.u.

```
Pr2ErHg2
1.0
-2.0293 3.6658 5.1009
2.0293 -3.6658 5.1009
2.0293 3.6658 -5.1009
Pr Er Hg
2 1 2
Cartesian
0.0000 0.0000 2.1492
0.0000 0.0000 8.0526
0.0000 3.6658 0.0000
2.0293 1.5080 0.0000
0.0000 2.1579 5.1009
```

=====

Of them, the most stable is #a and the least stable is #b.

=====

#a
PrErHg6: relaxed, PBE.

Output
As for the calculated volume: 198.4 Å³ per cell. As for the space-group type: Amm2, No. 38. The density of states at the Fermi level comes out at 0.710 states/eV/atom. Its magnetization is 0.0 μB/f.u.

```
PrErHg6
1.0
5.0414 0.0000 0.0000
0.0000 3.3957 5.7940
0.0000 -3.3957 5.7940
Pr Er Hg
1 1 6
Cartesian
0.0000 0.0000 0.0000
2.5207 0.0000 7.8650
0.0000 -1.6805 2.9298
0.0000 1.6805 2.9298
0.0000 0.0000 5.9275
2.5207 0.0000 2.0230
2.5207 -1.6068 4.8845
2.5207 1.6068 4.8845
```

=====

#b
PrErHg6: relaxed, PBE.

Output
As for the calculated volume: 202.4 Å³ per cell. As for the space-group type: P4/mmm, No. 123. The density of states at the Fermi level comes out at 0.737 states/eV/atom. Its magnetization is 0.0 μB/f.u.

```
PrErHg6
1.0
4.5710 0.0000 0.0000
0.0000 4.5710 0.0000
0.0000 0.0000 9.6861
Pr Er Hg
1 1 6
Cartesian
0.0000 0.0000 0.0000
0.0000 0.0000 4.8431
0.0000 2.2855 2.4924
0.0000 2.2855 7.1938
2.2855 0.0000 2.4924
2.2855 0.0000 7.1938
2.2855 2.2855 0.0000
2.2855 2.2855 4.8431
```

=====

Of them, the most stable is #a and the least stable is #b.

=====

#a
PrErHg: relaxed, PBE.

Output
As for the calculated volume: 98.6 Å³ per cell. As for the space-group type: F-43m, No. 216. The density of states at the Fermi level comes out at 1.575 states/eV/atom. Its magnetization is 0.0 μB/f.u.

```
PrErHg
1.0
0.0000 3.6672 3.6672
3.6672 0.0000 3.6672
3.6672 3.6672 0.0000
Pr Er Hg
1 1 1
Cartesian
0.0000 0.0000 0.0000
3.6672 3.6672 3.6672
5.5009 5.5009 5.5009
```

=====

#b
PrErHg: relaxed, PBE.

Output
As for the calculated volume: 182.4 Å³ per cell. As for the space-group type: P4/nmm, No. 129. The density of states at the Fermi level comes out at 0.603 states/eV/atom. Its magnetization is 0.0 μB/f.u.

```
PrErHg
1.0
4.8684 0.0000 0.0000
0.0000 4.8684 0.0000
0.0000 0.0000 7.6938
Pr Er Hg
2 2 2
Cartesian
1.2171 1.2171 1.0407
3.6513 3.6513 6.6531
1.2171 3.6513 3.8469
3.6513 1.2171 3.8469
1.2171 1.2171 5.7047
3.6513 3.6513 1.9891
```

=====

Of them, the most stable is #b and the least stable is #a.

=====

#a
PrErHg: relaxed, PBE.

Output
As for the calculated volume: 90.2 Å³ per cell. As for the space-group type: P3m1, No. 156. The density of states at the Fermi level comes out at 1.249 states/eV/atom. Its magnetization is 0.0 μB/f.u.

```
PrErHg
1.0
5.1510 0.0000 0.0000
-2.5755 4.4609 0.0000
0.0000 0.0000 3.9239
Pr Er Hg
1 1 1
Cartesian
0.0000 0.0000 0.0000
2.5755 1.4870 1.9637
0.0000 2.9739 1.9532
```

=====

#b
PrErHg: relaxed, PBE.

Output
As for the calculated volume: 87.8 Å³ per cell. As for the space-group type: I4mm, No. 107. The density of states at the Fermi level comes out at 1.163 states/eV/atom. Its magnetization is 0.6 μB/f.u.

```
PrErHg
1.0
-1.8443 1.8443 6.4531
1.8443 -1.8443 6.4531
1.8443 1.8443 -6.4531
Pr Er Hg
1 1 1
Cartesian
0.0000 0.0000 0.0000
0.0000 0.0000 3.9579
0.0000 0.0000 8.6618
```

=====

Of them, the most stable is #b and the least stable is #a.